Record 1
Computed, not measured: TlZn2Mo after structural relaxation at the GGA-PBE level of DFT.

Cell lengths 5.3143, 5.3143, 5.3143 Å; angles 136.38, 136.38, 63.39 degrees
With the nearest neighbours (Å) after each atom.
Fractional coordinates of all 4 atoms:
Tl 0.7500 0.2500 0.5000  4 Mo 2.79, 8 Zn 3.00
Zn 0.5000 0.5000 0.0000  4 Zn 2.79, 4 Mo 3.00, 4 Tl 3.00
Mo 0.2500 0.7500 0.5000  4 Tl 2.79, 8 Zn 3.00
Zn 0.0000 0.0000 0.0000  4 Zn 2.79, 4 Tl 3.00, 4 Mo 3.00

Results
- E_form (meV per atom) = 469
- calculated volume (Å³/cell) = 70.5
- symmetry = No. 139
- mass density (g/cm³) = 10.154
- total moment (Bohr magnetons per cell) = 0.7
- energy above the most stable polymorph in this dataset (meV/atom) = 143.3
- DOS(E_F) (states/eV/cell) = 2.2

=====

Record 2
Computed, not measured: Cs2ScGe2S6 after structural relaxation at the GGA-PBE level of DFT.

Cell lengths 7.1250, 7.1314, 8.6376 Å; angles 112.93, 90.00, 119.97 degrees
With the nearest neighbours (Å) after each atom.
Fractional coordinates of all 11 atoms:
S 0.2675 0.5351 0.2914  1 Ge 2.20
Cs 0.7124 0.4248 0.1458  9 S 3.70-3.89, 1 Ge 3.95
S 0.7410 0.0006 0.7268  1 Ge 2.20
Cs 0.2876 0.5752 0.8542  9 S 3.70-3.89, 1 Ge 3.95
S 0.2596 0.0006 0.7268  1 Ge 2.20
S 0.2590 0.9994 0.2732  1 Ge 2.20
Sc 0.5000 0.0000 0.5000  6 S 2.60-2.62
Ge 0.1085 0.2169 0.3428  3 S 2.20
S 0.7404 0.9994 0.2732  1 Ge 2.20
S 0.7325 0.4649 0.7086  1 Ge 2.20
Ge 0.8915 0.7831 0.6572  3 S 2.20

Results
- calculated volume (Å³/cell) = 339.6
- symmetry = No. 12
- mass density (g/cm³) = 3.171
- total moment (Bohr magnetons per cell) = 0.0
- formation energy without anion corrections (meV/atom) = -860
- DOS(E_F) (states/eV/cell) = 2.6

=====

Record 3
Computed, not measured: Nd5Ag4Rh after structural relaxation at the GGA-PBE level of DFT.

Cell lengths 3.6752, 3.6752, 18.9116 Å; angles 90.00, 90.00, 90.00 degrees
With the nearest neighbours (Å) after each atom.
Fractional coordinates of all 10 atoms:
Ag 0.0000 0.0000 0.6026  8 Nd 3.24-3.25
Nd 0.5000 0.5000 0.5000  8 Ag 3.24
Rh 0.0000 0.0000 0.0000  8 Nd 3.09
Ag 0.0000 0.0000 0.3974  8 Nd 3.24-3.25
Nd 0.5000 0.5000 0.9115  4 Rh 3.09, 4 Ag 3.28, 1 Nd 3.35
Nd 0.5000 0.5000 0.2946  8 Ag 3.22-3.25
Ag 0.0000 0.0000 0.1942  8 Nd 3.22-3.28
Nd 0.5000 0.5000 0.7054  8 Ag 3.22-3.25
Ag 0.0000 0.0000 0.8058  8 Nd 3.22-3.28
Nd 0.5000 0.5000 0.0885  4 Rh 3.09, 4 Ag 3.28, 1 Nd 3.35

Results
- E_form (meV per atom) = -336
- calculated volume (Å³/cell) = 255.4
- symmetry = No. 123
- mass density (g/cm³) = 8.162
- total moment (Bohr magnetons per cell) = 0.0
- DOS(E_F) (states/eV/cell) = 8.3

=====

Record 4
Computed, not measured: In3AgPd5 after structural relaxation at the GGA-PBE level of DFT.

Cell lengths 5.6983, 7.9893, 7.9885 Å; angles 120.00, 90.00, 90.00 degrees
With the nearest neighbours (Å) after each atom.
Fractional coordinates of all 18 atoms:
Ag 0.0000 0.0000 0.0000  2 Ag 2.85, 6 Pd 2.86
Pd 0.2500 0.3103 0.3103  5 In 2.65-2.87, 2 Ag 2.86
Pd 0.2500 0.6897 0.0000  5 In 2.65-2.87, 2 Ag 2.86
Pd 0.5000 0.3333 0.6667  8 Pd 2.85-3.11, 6 In 2.94
Pd 0.5000 0.6667 0.3333  8 Pd 2.85-3.11, 6 In 2.94
In 0.2500 0.3583 0.0000  9 Pd 2.65-2.94
Pd 0.2500 0.0000 0.6897  5 In 2.65-2.87, 2 Ag 2.86
Pd 0.0000 0.3333 0.6667  8 Pd 2.85-3.11, 6 In 2.94
In 0.7500 0.3583 0.3583  9 Pd 2.65-2.94
Pd 0.7500 0.3103 0.0000  5 In 2.65-2.87, 2 Ag 2.86
Pd 0.0000 0.6667 0.3333  8 Pd 2.85-3.11, 6 In 2.94
In 0.7500 0.6417 0.0000  9 Pd 2.65-2.94
Pd 0.7500 0.6897 0.6897  5 In 2.65-2.87, 2 Ag 2.86
In 0.2500 0.0000 0.3583  9 Pd 2.65-2.94
Pd 0.7500 0.0000 0.3103  5 In 2.65-2.87, 2 Ag 2.86
In 0.7500 0.0000 0.6417  9 Pd 2.65-2.94
In 0.2500 0.6417 0.6417  9 Pd 2.65-2.94
Ag 0.5000 0.0000 0.0000  2 Ag 2.85, 6 Pd 2.86

Results
- E_form (meV per atom) = -430
- calculated volume (Å³/cell) = 314.9
- symmetry = No. 193
- mass density (g/cm³) = 10.381
- total moment (Bohr magnetons per cell) = 0.0
- DOS(E_F) (states/eV/cell) = 7.1

=====

Record 5
Computed, not measured: Ti3VRu after structural relaxation at the GGA-PBE level of DFT.

Cell lengths 4.6713, 4.6713, 4.6713 Å; angles 90.00, 90.00, 90.00 degrees
With the nearest neighbours (Å) after each atom.
Fractional coordinates of all 5 atoms:
Ru 0.0000 0.0000 0.0000  6 Ti 2.34
Ti 0.0000 0.0000 0.5000  2 Ru 2.34
Ti 0.5000 0.0000 0.0000  2 Ru 2.34
Ti 0.0000 0.5000 0.0000  2 Ru 2.34
V 0.5000 0.5000 0.5000  12 Ti 3.30

Results
- E_form (meV per atom) = 629
- calculated volume (Å³/cell) = 101.9
- symmetry = No. 221
- mass density (g/cm³) = 4.816
- total moment (Bohr magnetons per cell) = 2.2
- energy above the most stable polymorph in this dataset (meV/atom) = 0.0
- DOS(E_F) (states/eV/cell) = 6.4

=====

Record 6
Computed, not measured: RbMnPt after structural relaxation at the GGA-PBE level of DFT.

Cell lengths 4.0143, 4.0143, 5.8200 Å; angles 90.00, 90.00, 120.00 degrees
With the nearest neighbours (Å) after each atom.
Fractional coordinates of all 3 atoms:
Rb 0.6667 0.3333 0.5000  6 Pt 3.72, 6 Mn 3.72, 6 Rb 4.01
Pt 0.3333 0.6667 0.0000  3 Mn 2.32
Mn 0.0000 0.0000 0.0000  3 Pt 2.32

Results
- E_form (meV per atom) = 670
- calculated volume (Å³/cell) = 81.2
- symmetry = No. 187
- mass density (g/cm³) = 6.859
- total moment (Bohr magnetons per cell) = 0.0
- energy above the most stable polymorph in this dataset (meV/atom) = 637.1
- DOS(E_F) (states/eV/cell) = 3.9

=====

Record 7
Computed, not measured: K2NpIrS4 after structural relaxation at the GGA-PBE level of DFT.

Cell lengths 3.9356, 6.2521, 7.8305 Å; angles 108.04, 90.00, 90.00 degrees
With the nearest neighbours (Å) after each atom.
Fractional coordinates of all 8 atoms:
Ir 0.0000 0.0000 0.0000  6 S 2.50-2.52
S 0.0000 0.7582 0.2010  1 Ir 2.50, 2 Np 2.72
Np 0.5000 0.5000 0.0000  6 S 2.68-2.72
S 0.0000 0.2418 0.7990  1 Ir 2.50, 2 Np 2.72
K 0.5000 0.0000 0.5000  6 S 3.07-3.12
K 0.0000 0.5000 0.5000  6 S 3.23-3.28
S 0.5000 0.1990 0.1812  2 Ir 2.52, 1 Np 2.68
S 0.5000 0.8010 0.8188  2 Ir 2.52, 1 Np 2.68

Results
- calculated volume (Å³/cell) = 183.2
- symmetry = No. 10
- mass density (g/cm³) = 5.762
- total moment (Bohr magnetons per cell) = 3.8
- formation energy without anion corrections (meV/atom) = -954
- DOS(E_F) (states/eV/cell) = 9.4

=====

Record 8
Computed, not measured: LiSmSe2 after structural relaxation at the GGA-PBE level of DFT.

Cell lengths 4.1629, 4.1629, 5.6902 Å; angles 90.00, 90.00, 90.00 degrees
With the nearest neighbours (Å) after each atom.
Fractional coordinates of all 4 atoms:
Se 0.5000 0.5000 0.0000  2 Sm 2.85, 4 Li 2.94
Se 0.0000 0.0000 0.5000  2 Li 2.85, 4 Sm 2.94
Sm 0.5000 0.5000 0.5000  6 Se 2.85-2.94
Li 0.0000 0.0000 0.0000  6 Se 2.85-2.94

Results
- calculated volume (Å³/cell) = 98.6
- symmetry = No. 123
- mass density (g/cm³) = 5.308
- total moment (Bohr magnetons per cell) = 0.0
- formation energy without anion corrections (meV/atom) = -1602
- DOS(E_F) (states/eV/cell) = 0.4

=====

Record 9
Computed, not measured: K2ErGaTe4 after structural relaxation at the GGA-PBE level of DFT.

Cell lengths 7.3638, 7.1969, 7.1969 Å; angles 74.83, 59.23, 59.23 degrees
With the nearest neighbours (Å) after each atom.
Fractional coordinates of all 8 atoms:
Te 0.1041 0.3460 0.0000  1 Ga 2.70, 1 Er 2.96
Te 0.5499 0.0000 0.3460  1 Ga 2.70, 1 Er 2.96
Te 0.4501 0.6540 0.0000  1 Ga 2.70, 1 Er 2.96
K 0.0000 0.5000 0.5000  8 Te 3.63-3.82, 2 K 3.68
Er 0.0000 0.0000 0.0000  4 Te 2.96
Te 0.8959 0.0000 0.6540  1 Ga 2.70, 1 Er 2.96
K 0.5000 0.5000 0.5000  8 Te 3.63-3.82, 2 K 3.68
Ga 0.5000 0.0000 0.0000  4 Te 2.70

Results
- calculated volume (Å³/cell) = 281.6
- symmetry = No. 121
- mass density (g/cm³) = 4.869
- total moment (Bohr magnetons per cell) = 0.0
- formation energy without anion corrections (meV/atom) = -947
- DOS(E_F) (states/eV/cell) = 0.0

=====

Record 10
Computed, not measured: Li5CuAg6 after structural relaxation at the GGA-PBE level of DFT.

Cell lengths 4.5698, 7.8587, 7.8587 Å; angles 122.25, 106.90, 106.90 degrees
With the nearest neighbours (Å) after each atom.
Fractional coordinates of all 12 atoms:
Ag 0.7506 0.9154 0.5862  1 Cu 2.72, 7 Li 2.73-2.78, 2 Ag 3.02-3.04
Ag 0.7506 0.5862 0.9154  1 Cu 2.72, 7 Li 2.73-2.78, 2 Ag 3.02-3.04
Li 0.5000 0.8335 0.1665  8 Ag 2.74-2.78, 2 Li 3.03
Li 0.0000 0.6677 0.3323  8 Ag 2.74-2.77, 2 Li 3.03
Ag 0.2494 0.0846 0.4138  1 Cu 2.72, 7 Li 2.73-2.78, 2 Ag 3.02-3.04
Ag 0.2494 0.4138 0.0846  1 Cu 2.72, 7 Li 2.73-2.78, 2 Ag 3.02-3.04
Cu 0.0000 0.0000 0.0000  8 Ag 2.72-2.74, 2 Li 3.03
Li 0.5000 0.1665 0.8335  8 Ag 2.74-2.78, 2 Li 3.03
Li 0.0000 0.3323 0.6677  8 Ag 2.74-2.77, 2 Li 3.03
Li 0.5000 0.5000 0.5000  8 Ag 2.73-2.75, 2 Cu 3.03
Ag 0.7499 0.2485 0.2485  2 Cu 2.73-2.74, 6 Li 2.74-2.77, 2 Ag 3.01-3.05
Ag 0.2501 0.7515 0.7515  2 Cu 2.73-2.74, 6 Li 2.74-2.77, 2 Ag 3.01-3.05

Results
- E_form (meV per atom) = -162
- calculated volume (Å³/cell) = 190.6
- symmetry = No. 12
- mass density (g/cm³) = 6.494
- total moment (Bohr magnetons per cell) = 0.0
- DOS(E_F) (states/eV/cell) = 2.9

=====

Record 11
Computed, not measured: Tb2GeHRh6 after structural relaxation at the GGA-PBE level of DFT.

Cell lengths 6.0943, 6.0941, 6.0906 Å; angles 59.92, 59.92, 89.95 degrees
With the nearest neighbours (Å) after each atom.
Fractional coordinates of all 10 atoms:
H 0.5000 0.5000 0.0000  6 Rh 1.95-1.96
Rh 0.2727 0.7273 0.0000  1 H 1.96
Rh 0.7271 0.7271 0.5460  1 H 1.95
Tb 0.2500 0.7500 0.5000  12 Rh 3.05
Ge 0.0000 0.0000 0.0000  6 Rh 2.35
Rh 0.2729 0.2729 0.4540  1 H 1.95
Rh 0.2725 0.2725 0.0000  1 H 1.96
Tb 0.7500 0.2500 0.5000  12 Rh 3.05
Rh 0.7273 0.2727 0.0000  1 H 1.96
Rh 0.7275 0.7275 0.0000  1 H 1.96

Results
- calculated volume (Å³/cell) = 159.6
- total DFT energy (no corrections) (eV/f.u.) = -67.2
- symmetry = No. 139
- mass density (g/cm³) = 10.495
- total moment (Bohr magnetons per cell) = 0.0
- DOS(E_F) (states/eV/cell) = 8.6

=====

Record 12
Computed, not measured: PrScPd4O8 after structural relaxation at the GGA-PBE level of DFT.

Cell lengths 6.6595, 6.6595, 6.2680 Å; angles 57.91, 57.91, 60.00 degrees
With the nearest neighbours (Å) after each atom.
Fractional coordinates of all 14 atoms:
O 0.2425 0.2425 0.2724  3 Pd 2.22, 1 Pr 2.26
Pd 0.6285 0.6285 0.1145  1 O 2.04
Pd 0.4987 0.0006 0.5001  6 O 2.11-2.22
Sc 0.9923 0.9923 0.0231  6 O 2.13-2.16
O 0.2260 0.2260 0.7364  2 Pd 2.13, 1 Sc 2.13, 1 Pr 2.29
Pr 0.3950 0.3950 0.8149  4 O 2.26-2.29
O 0.7657 0.7657 0.7030  4 Pd 2.04-2.18
Pd 0.0006 0.4987 0.5001  6 O 2.11-2.22
O 0.8117 0.2260 0.7364  2 Pd 2.13, 1 Sc 2.13, 1 Pr 2.29
Pd 0.0006 0.0006 0.5001  6 O 2.11-2.22
O 0.7551 0.7551 0.2875  3 Pd 2.11-2.29, 1 Sc 2.16
O 0.7551 0.2023 0.2875  3 Pd 2.11-2.29, 1 Sc 2.16
O 0.2023 0.7551 0.2875  3 Pd 2.11-2.29, 1 Sc 2.16
O 0.2260 0.8117 0.7364  2 Pd 2.13, 1 Sc 2.13, 1 Pr 2.29

Results
- calculated volume (Å³/cell) = 190.1
- symmetry = No. 160
- mass density (g/cm³) = 6.459
- total moment (Bohr magnetons per cell) = 0.0
- formation energy without anion corrections (meV/atom) = -1286
- DOS(E_F) (states/eV/cell) = 4.0